Entry w
First-principles (PBE) data for crystalline ZrNi2Br at its relaxed geometry, as listed in the Alexandria database.

Lattice parameters (Å, degrees): 3.434 3.389 6.280 90.00 90.78 90.00
Space group P2/m (No. 10)
Asymmetric unit:
Zr  0.000  0.000  0.000
Ni  0.496  0.500  0.807
Br  0.500  0.000  0.500



Entry x
First-principles (PBE) data for crystalline ZrNi2Br at its relaxed geometry, as listed in the Alexandria database.

Lattice parameters (Å, degrees): 8.745 3.432 5.243 90.00 94.09 90.00
Space group C2/m (No. 12)
Asymmetric unit:
Zr  0.000  0.000  0.000
Ni  0.198  0.500  0.857
Br  0.000  0.500  0.500



Entry y
First-principles (PBE) data for crystalline ZrNi2Br at its relaxed geometry, as listed in the Alexandria database.

Lattice parameters (Å, degrees): 3.876 3.876 8.574 90.00 90.00 90.00
Space group I4/mmm (No. 139)
Asymmetric unit:
Zr  0.000  0.000  0.000
Ni  0.000  0.500  0.250
Br  0.000  0.000  0.500



Least stable structure among those shown: entry y.